A relaxed Pr2MnF8 crystal, computed with PBE+U.

Values from the calculation:
crystal system: monoclinic
E: -6.564 eV/atom

Lattice parameters (Å, degrees): 7.5922 7.5922 5.4895 110.55 110.55 29.65
Closest atoms and distances in Å follow each position.
Sites, in units of the cell vectors:
Pr 0.1689 0.1689 0.1752  9 F 2.36-2.52
Pr 0.8311 0.8311 0.8248  9 F 2.36-2.52
Mn 0.5000 0.5000 0.5000  6 F 2.16-2.33
F 0.0319 0.0319 0.3088  2 Mn 2.33, 1 Pr 2.38, 1 F 2.59
F 0.2210 0.2210 0.8165  3 Pr 2.36-2.52, 2 F 2.56-2.61
F 0.3293 0.3293 0.5412  3 Pr 2.48, 5 F 2.56-2.72, 1 Mn 2.60
F 0.4082 0.4082 0.0914  1 Mn 2.16
F 0.5918 0.5918 0.9086  1 Mn 2.16
F 0.6707 0.6707 0.4588  3 Pr 2.48, 5 F 2.56-2.72, 1 Mn 2.60
F 0.7790 0.7790 0.1835  3 Pr 2.36-2.52, 2 F 2.56-2.61
F 0.9681 0.9681 0.6912  2 Mn 2.33, 1 Pr 2.38, 1 F 2.59